# 1
Material: Hf2InSe2
Method: DFT, PBE
State: optimized geometry

abc: 7.790 7.790 3.409
angles: 90.00 90.00 90.00
Sites, in units of the cell vectors:
Hf  0.351  0.851  0.000
Se  0.361  0.139  0.500
Hf  0.649  0.149  0.000
Se  0.861  0.361  0.500
Hf  0.851  0.649  0.000
In  0.000  0.000  0.000
Se  0.639  0.861  0.500
Hf  0.149  0.351  0.000
Se  0.139  0.639  0.500
In  0.500  0.500  0.000

Calculated values
Energy above the most stable polymorph in this dataset   0 meV/atom
E_form (uncorrected)   -3.02 eV per formula unit

# 2
Material: NdTh2Ga2Cu2
Method: DFT, PBE
State: optimized geometry

abc: 4.405 4.405 9.769
angles: 76.97 76.97 60.00
Sites, in units of the cell vectors:
Cu  0.403  0.403  0.792
Ga  0.735  0.735  0.794
Th  0.130  0.130  0.611
Nd  0.000  0.000  0.000
Th  0.870  0.870  0.389
Cu  0.597  0.597  0.208
Ga  0.265  0.265  0.206

Calculated values
Formation enthalpy at 0 K   -0.290 eV/atom

# 3
Material: InO
Method: DFT, PBE
State: optimized geometry

abc: 9.173 9.173 3.720
angles: 90.00 90.00 90.00
Sites, in units of the cell vectors:
O  0.754  0.627  0.000
In  0.889  0.680  0.500
O  0.746  0.873  0.500
O  0.246  0.373  0.000
O  0.873  0.254  0.500
In  0.820  0.389  0.000
In  0.611  0.820  0.000
In  0.320  0.889  0.500
In  0.680  0.111  0.500
O  0.373  0.754  0.000
In  0.180  0.611  0.000
O  0.127  0.746  0.500
In  0.111  0.320  0.500
O  0.254  0.127  0.500
In  0.389  0.180  0.000
O  0.627  0.246  0.000

Calculated values
E_form (uncorrected)   -1.93 eV per formula unit

Number 1: total magnetization 0.0000 μB/atom. Number 2: total magnetization 0.0000 μB/atom. Number 3: total magnetization 0.0000 μB/atom.